1.
Li4Pa3OsN8: relaxed, PBE.

Properties
Space-group type = No. 166
Uncorrected formation energy = -0.84 eV/atom
Total energy = -127.45 eV for the cell shown

Cell lengths 6.8122, 6.4550, 6.8095 Å; angles 121.89, 120.01, 90.00 degrees
Closest atoms and distances in Å follow each position.
Fractional coordinates of all 16 atoms:
1 Li 0.5000 0.0000 0.5000  6 N 2.41-2.45
2 Li 0.5000 0.0000 0.0000  6 N 2.53
3 Li 0.0000 0.0000 0.0000  6 N 2.41-2.44
4 Li 0.0000 0.0000 0.5000  6 N 2.41-2.45
5 Os 0.0000 0.5000 0.0000  6 N 2.16
6 N 0.7704 0.2861 0.0153  1 Os 2.16, 2 Pa 2.30, 2 Li 2.41
7 N 0.7551 0.7139 0.9847  1 Os 2.16, 2 Pa 2.30, 2 Li 2.41
8 N 0.2297 0.7139 0.4593  1 Os 2.16, 2 Pa 2.30, 2 Li 2.41
9 N 0.7703 0.2861 0.5407  1 Os 2.16, 2 Pa 2.30, 2 Li 2.41
10 N 0.2616 0.2851 0.5231  3 Pa 2.25, 3 Li 2.44-2.45
11 N 0.2296 0.7139 0.9847  1 Os 2.16, 2 Pa 2.30, 2 Li 2.41
12 N 0.2449 0.2861 0.0153  1 Os 2.16, 2 Pa 2.30, 2 Li 2.41
13 N 0.7384 0.7149 0.4769  3 Pa 2.25, 3 Li 2.44-2.45
14 Pa 0.5000 0.5000 0.5000  6 N 2.25-2.30
15 Pa 0.5000 0.5000 0.0000  6 N 2.25-2.30
16 Pa 0.0000 0.5000 0.5000  6 N 2.25-2.30

2.
Li3Pa3OsN8: relaxed, PBE.

Properties
Space-group type = No. 166
Uncorrected formation energy = -0.82 eV/atom
Total energy = -124.31 eV for the cell shown

Cell lengths 6.8185, 6.8184, 6.3591 Å; angles 122.42, 90.00, 120.00 degrees
Closest atoms and distances in Å follow each position.
Fractional coordinates of all 15 atoms:
1 Pa 0.0000 0.5000 0.5000  6 N 2.26-2.29
2 Pa 0.5000 0.5000 0.5000  6 N 2.26-2.29
3 Pa 0.5000 0.0000 0.5000  6 N 2.26-2.29
4 N 0.2598 0.5196 0.2795  3 Pa 2.26, 3 Li 2.41
5 N 0.2381 0.0161 0.2941  1 Os 2.08, 2 Pa 2.29
6 N 0.7402 0.4804 0.7205  3 Pa 2.26, 3 Li 2.41
7 N 0.2220 0.4440 0.7059  1 Os 2.08, 2 Pa 2.29
8 N 0.2220 0.9839 0.7059  1 Os 2.08, 2 Pa 2.29
9 N 0.7619 0.9839 0.7059  1 Os 2.08, 2 Pa 2.29
10 N 0.7780 0.0161 0.2941  1 Os 2.08, 2 Pa 2.29
11 N 0.7780 0.5560 0.2941  1 Os 2.08, 2 Pa 2.29
12 Li 0.5000 0.5000 0.0000  6 N 2.40-2.41
13 Li 0.0000 0.5000 0.0000  6 N 2.40-2.41
14 Li 0.0000 0.0000 0.0000  6 N 2.40-2.41
15 Os 0.0000 0.0000 0.5000  6 N 2.08

3.
LiPa2OsN5: relaxed, PBE.

Properties
Space-group type = No. 36
Uncorrected formation energy = -0.85 eV/atom
Total energy = -162.86 eV for the cell shown

Cell lengths 3.3980, 6.6931, 9.3700 Å; angles 90.00, 90.00, 104.71 degrees
Closest atoms and distances in Å follow each position.
Fractional coordinates of all 18 atoms:
1 Pa 0.8937 0.7874 0.1841  6 N 2.30-2.48
2 Pa 0.8636 0.7272 0.8028  8 N 2.34-2.54
3 Pa 0.1063 0.2126 0.6841  6 N 2.30-2.48
4 Pa 0.1364 0.2728 0.3028  8 N 2.34-2.54
5 Li 0.5306 0.0612 0.9734  3 N 1.90-1.96
6 Li 0.4694 0.9388 0.4734  3 N 1.90-1.96
7 Os 0.8037 0.6073 0.5064  6 N 1.99-2.21
8 Os 0.1963 0.3927 0.0064  6 N 1.99-2.21
9 N 0.3597 0.7195 0.9966  1 Os 2.12, 1 Li 2.22
10 N 0.5008 0.0017 0.2684  1 Li 1.96
11 N 0.2889 0.5779 0.6552  2 Os 2.21, 3 Pa 2.38-2.39
12 N 0.7111 0.4221 0.1552  2 Os 2.21, 3 Pa 2.38-2.39
13 N 0.4992 0.9983 0.7684  1 Li 1.96
14 N 0.6403 0.2805 0.4966  1 Os 2.12, 1 Li 2.22
15 N 0.0477 0.0954 0.0611  2 Li 1.90, 1 Os 1.99
16 N 0.3093 0.6186 0.3759  2 Os 2.09, 1 Li 2.27, 1 Pa 2.34
17 N 0.9523 0.9046 0.5611  2 Li 1.90, 1 Os 1.99
18 N 0.6907 0.3814 0.8759  2 Os 2.09, 1 Li 2.27, 1 Pa 2.34

4.
LiPr2Os2N6: relaxed, PBE.

Properties
Space-group type = No. 166
Uncorrected formation energy = -0.23 eV/atom
Total energy = -86.36 eV for the cell shown

Cell lengths 5.7107, 5.7107, 6.7077 Å; angles 64.81, 64.81, 60.00 degrees
Closest atoms and distances in Å follow each position.
Fractional coordinates of all 11 atoms:
1 N 0.7438 0.7438 0.2854  1 Os 1.78
2 N 0.7730 0.2562 0.7146  1 Os 1.78
3 N 0.7438 0.2270 0.2854  1 Os 1.78
4 N 0.2562 0.7730 0.7146  1 Os 1.78
5 N 0.2270 0.7438 0.2854  1 Os 1.78
6 N 0.2562 0.2562 0.7146  1 Os 1.78
7 Os 0.3992 0.3992 0.8024  3 N 1.78
8 Os 0.6008 0.6008 0.1976  3 N 1.78
9 Pr 0.7899 0.7899 0.6302  3 N 2.57
10 Pr 0.2101 0.2101 0.3698  3 N 2.57
11 Li 0.0000 0.0000 0.0000  6 N 2.31

5.
Li2PrOsN4: relaxed, PBE.

Properties
Space-group type = No. 121
Uncorrected formation energy = -0.47 eV/atom
Total energy = -56.92 eV for the cell shown

Cell lengths 5.5258, 5.1344, 5.1344 Å; angles 80.89, 57.44, 57.44 degrees
Closest atoms and distances in Å follow each position.
Fractional coordinates of all 8 atoms:
1 N 0.0000 0.4631 0.1507  1 Os 1.83
2 N 0.0000 0.8493 0.5369  1 Os 1.83
3 N 0.3862 0.1507 0.4631  1 Os 1.83
4 N 0.6138 0.5369 0.8493  1 Os 1.83
5 Li 0.5000 0.2501 0.7499  4 N 2.10
6 Li 0.5000 0.7499 0.2501  4 N 2.10
7 Pr 0.0000 0.0000 0.0000  8 N 2.61-2.74
8 Os 0.0000 0.5000 0.5000  4 N 1.83

6.
Li2PuOsN4: relaxed, PBE.

Properties
Space-group type = No. 63
Uncorrected formation energy = -0.14 eV/atom
Total energy = -127.63 eV for the cell shown

Cell lengths 3.2810, 6.2593, 9.4813 Å; angles 90.00, 90.00, 105.19 degrees
Closest atoms and distances in Å follow each position.
Fractional coordinates of all 16 atoms:
1 N 0.0000 0.0000 0.5000  4 Li 2.02
2 N 0.3042 0.6084 0.3928  1 Os 1.75, 1 Li 1.85
3 N 0.0000 0.0000 0.0000  4 Li 2.02
4 N 0.6958 0.3916 0.8928  1 Os 1.75, 1 Li 1.85
5 N 0.3042 0.6084 0.1072  1 Os 1.75, 1 Li 1.85
6 N 0.6085 0.2170 0.2500  2 Li 2.02, 2 Os 2.07
7 N 0.6958 0.3916 0.6072  1 Os 1.75, 1 Li 1.85
8 N 0.3915 0.7830 0.7500  2 Li 2.02, 2 Os 2.07
9 Pu 0.9582 0.9164 0.2500  4 N 2.42-2.45
10 Pu 0.0418 0.0836 0.7500  4 N 2.42-2.45
11 Li 0.4070 0.8139 0.5378  4 N 1.85-2.02
12 Li 0.4070 0.8139 0.9622  4 N 1.85-2.02
13 Li 0.5930 0.1861 0.4622  4 N 1.85-2.02
14 Li 0.5930 0.1861 0.0378  4 N 1.85-2.02
15 Os 0.7870 0.5739 0.7500  2 N 1.75
16 Os 0.2130 0.4261 0.2500  2 N 1.75

7.
LiOsS2N: relaxed, PBE.

Properties
Space-group type = No. 123
Uncorrected formation energy = 1.48 eV/atom
Excess energy over the best structure of this formula in the dataset = 6.724 eV/f.u.
Total energy = -22.34 eV for the cell shown

Cell lengths 4.3980, 4.3980, 3.2824 Å; angles 90.00, 90.00, 90.00 degrees
Closest atoms and distances in Å follow each position.
Fractional coordinates of all 5 atoms:
1 Os 0.5000 0.5000 0.5000  8 S 2.74
2 Li 0.0000 0.0000 0.0000  2 N 1.64
3 S 0.0000 0.5000 0.0000  2 Li 2.20
4 S 0.5000 0.0000 0.0000  2 Li 2.20
5 N 0.0000 0.0000 0.5000  2 Li 1.64

8.
LiOsS2N: relaxed, PBE.

Properties
Space-group type = No. 123
Uncorrected formation energy = 0.13 eV/atom
Excess energy over the best structure of this formula in the dataset = 0.000 eV/f.u.
Total energy = -29.06 eV for the cell shown

Cell lengths 4.8592, 4.8592, 3.6934 Å; angles 90.00, 90.00, 90.00 degrees
Closest atoms and distances in Å follow each position.
Fractional coordinates of all 5 atoms:
1 Os 0.0000 0.0000 0.0000  2 N 1.85
2 S 0.0000 0.5000 0.0000  2 Os 2.43
3 S 0.5000 0.0000 0.0000  2 Os 2.43
4 Li 0.5000 0.5000 0.5000  8 S 3.05
5 N 0.0000 0.0000 0.5000  2 Os 1.85

9.
Li2SbOsN: relaxed, PBE.

Properties
Space-group type = No. 123
Uncorrected formation energy = -0.25 eV/atom
Total energy = -28.74 eV for the cell shown

Cell lengths 4.2172, 4.2172, 3.8518 Å; angles 90.00, 90.00, 90.00 degrees
Closest atoms and distances in Å follow each position.
Fractional coordinates of all 5 atoms:
1 Li 0.5000 0.0000 0.0000  2 N 2.11
2 Li 0.0000 0.5000 0.0000  2 N 2.11
3 Sb 0.5000 0.5000 0.5000  8 Li 2.86, 4 Os 2.98
4 Os 0.0000 0.0000 0.5000  2 N 1.93
5 N 0.0000 0.0000 0.0000  2 Os 1.93, 4 Li 2.11

10.
LiOsSeN2: relaxed, PBE.

Properties
Space-group type = No. 123
Uncorrected formation energy = 0.23 eV/atom
Excess energy over the best structure of this formula in the dataset = 0.000 eV/f.u.
Total energy = -32.15 eV for the cell shown

Cell lengths 3.7791, 3.7791, 5.4775 Å; angles 90.00, 90.00, 90.00 degrees
Closest atoms and distances in Å follow each position.
Fractional coordinates of all 5 atoms:
1 Os 0.0000 0.0000 0.0000  4 N 1.89
2 N 0.5000 0.0000 0.0000  2 Os 1.89
3 N 0.0000 0.5000 0.0000  2 Os 1.89
4 Se 0.0000 0.0000 0.5000  4 Li 2.67, 2 Os 2.74
5 Li 0.5000 0.5000 0.5000  4 Se 2.67

11.
LiOsSeN2: relaxed, PBE.

Properties
Space-group type = No. 123
Uncorrected formation energy = 2.03 eV/atom
Excess energy over the best structure of this formula in the dataset = 9.035 eV/f.u.
Total energy = -23.11 eV for the cell shown

Cell lengths 3.6600, 3.6600, 4.4135 Å; angles 90.00, 90.00, 90.00 degrees
Closest atoms and distances in Å follow each position.
Fractional coordinates of all 5 atoms:
1 Se 0.0000 0.0000 0.5000  2 Li 2.21
2 N 0.5000 0.0000 0.0000  2 Li 1.83
3 N 0.0000 0.5000 0.0000  2 Li 1.83
4 Li 0.0000 0.0000 0.0000  4 N 1.83
5 Os 0.5000 0.5000 0.5000  4 Se 2.59, 8 N 2.87

Question: Which formula does entry 10 have?
Answer: LiOsSeN2

Question: Which formula does entry 7 have?
Answer: LiOsS2N

Question: The highest uncorrected formation energy belongs to which entry?
Answer: number 11